Record 1
Co5Ni after structural relaxation, computed with PBE-GGA.

## Properties
Energy above the most stable polymorph in this dataset ... 0.000 eV per atom
Symmetry ... No. 63
Energy of formation ... 189 meV/atom

Lattice parameters (Å, degrees): 4.597 4.597 7.348 90.00 90.00 120.35
Positions (direct):
Co: 0.000 0.000 0.000
Co: 0.000 0.000 0.500
Co: 0.176 0.343 0.250
Co: 0.334 0.666 0.569
Co: 0.334 0.666 0.931
Co: 0.343 0.176 0.750
Co: 0.657 0.824 0.250
Co: 0.666 0.334 0.069
Co: 0.666 0.334 0.431
Co: 0.824 0.657 0.750
Ni: 0.173 0.827 0.250
Ni: 0.827 0.173 0.750

=====

Record 2
Co7Ni5 after structural relaxation, computed with PBE-GGA.

## Properties
Energy above the most stable polymorph in this dataset ... 0.004 eV per atom
Symmetry ... No. 194
Energy of formation ... 200 meV/atom

Lattice parameters (Å, degrees): 4.602 4.602 14.844 90.00 90.00 120.00
Positions (direct):
Co: 0.000 0.000 0.089
Co: 0.000 0.000 0.411
Co: 0.000 0.000 0.589
Co: 0.000 0.000 0.911
Co: 0.160 0.321 0.250
Co: 0.160 0.840 0.250
Co: 0.321 0.160 0.750
Co: 0.333 0.667 0.128
Co: 0.333 0.667 0.372
Co: 0.667 0.333 0.628
Co: 0.667 0.333 0.872
Co: 0.679 0.840 0.250
Co: 0.840 0.160 0.750
Co: 0.840 0.679 0.750
Ni: 0.000 0.500 0.000
Ni: 0.000 0.500 0.500
Ni: 0.333 0.667 0.657
Ni: 0.333 0.667 0.843
Ni: 0.500 0.000 0.000
Ni: 0.500 0.000 0.500
Ni: 0.500 0.500 0.000
Ni: 0.500 0.500 0.500
Ni: 0.667 0.333 0.157
Ni: 0.667 0.333 0.343

=====

Record 3
Co5Ni7 after structural relaxation, computed with PBE-GGA.

## Properties
Energy above the most stable polymorph in this dataset ... 0.000 eV per atom
Symmetry ... No. 194
Energy of formation ... 199 meV/atom

Lattice parameters (Å, degrees): 4.599 4.599 14.857 90.00 90.00 120.00
Positions (direct):
Co: 0.161 0.322 0.250
Co: 0.161 0.839 0.250
Co: 0.322 0.161 0.750
Co: 0.333 0.667 0.128
Co: 0.333 0.667 0.372
Co: 0.667 0.333 0.628
Co: 0.667 0.333 0.872
Co: 0.678 0.839 0.250
Co: 0.839 0.161 0.750
Co: 0.839 0.678 0.750
Ni: 0.000 0.000 0.092
Ni: 0.000 0.000 0.408
Ni: 0.000 0.000 0.592
Ni: 0.000 0.000 0.908
Ni: 0.000 0.500 0.000
Ni: 0.000 0.500 0.500
Ni: 0.333 0.667 0.658
Ni: 0.333 0.667 0.842
Ni: 0.500 0.000 0.000
Ni: 0.500 0.000 0.500
Ni: 0.500 0.500 0.000
Ni: 0.500 0.500 0.500
Ni: 0.667 0.333 0.158
Ni: 0.667 0.333 0.342

=====

Record 4
CoNi5 after structural relaxation, computed with PBE-GGA.

## Properties
Symmetry ... No. 63
Energy of formation ... 207 meV/atom

Lattice parameters (Å, degrees): 4.607 4.607 7.396 90.00 90.00 120.08
Positions (direct):
Co: 0.172 0.828 0.750
Co: 0.828 0.172 0.250
Ni: 0.000 0.000 0.000
Ni: 0.000 0.000 0.500
Ni: 0.171 0.342 0.750
Ni: 0.333 0.667 0.069
Ni: 0.333 0.667 0.431
Ni: 0.342 0.171 0.250
Ni: 0.658 0.829 0.750
Ni: 0.667 0.333 0.569
Ni: 0.667 0.333 0.931
Ni: 0.829 0.658 0.250

=====

Record 5
CoNi2 after structural relaxation, computed with PBE-GGA.

## Properties
Symmetry ... No. 63
Energy of formation ... 207 meV/atom

Lattice parameters (Å, degrees): 4.605 4.605 7.408 90.00 90.00 120.34
Positions (direct):
Co: 0.157 0.326 0.250
Co: 0.326 0.157 0.750
Co: 0.674 0.843 0.250
Co: 0.843 0.674 0.750
Ni: 0.166 0.834 0.072
Ni: 0.166 0.834 0.428
Ni: 0.328 0.672 0.750
Ni: 0.500 0.500 0.000
Ni: 0.500 0.500 0.500
Ni: 0.672 0.328 0.250
Ni: 0.834 0.166 0.572
Ni: 0.834 0.166 0.928

=====

Record 6
Co5Ni7 after structural relaxation, computed with PBE-GGA.

## Properties
Energy above the most stable polymorph in this dataset ... 0.016 eV per atom
Symmetry ... No. 194
Energy of formation ... 215 meV/atom

Lattice parameters (Å, degrees): 4.586 4.586 14.940 90.00 90.00 120.00
Positions (direct):
Co: 0.000 0.500 0.000
Co: 0.000 0.500 0.500
Co: 0.333 0.667 0.154
Co: 0.333 0.667 0.346
Co: 0.500 0.000 0.000
Co: 0.500 0.000 0.500
Co: 0.500 0.500 0.000
Co: 0.500 0.500 0.500
Co: 0.667 0.333 0.654
Co: 0.667 0.333 0.846
Ni: 0.000 0.000 0.090
Ni: 0.000 0.000 0.410
Ni: 0.000 0.000 0.590
Ni: 0.000 0.000 0.910
Ni: 0.162 0.324 0.750
Ni: 0.162 0.838 0.750
Ni: 0.324 0.162 0.250
Ni: 0.333 0.667 0.626
Ni: 0.333 0.667 0.874
Ni: 0.667 0.333 0.126
Ni: 0.667 0.333 0.374
Ni: 0.676 0.838 0.750
Ni: 0.838 0.162 0.250
Ni: 0.838 0.676 0.250

=====

Record 7
Co7Ni5 after structural relaxation, computed with PBE-GGA.

## Properties
Energy above the most stable polymorph in this dataset ... 0.003 eV per atom
Symmetry ... No. 194
Energy of formation ... 199 meV/atom

Lattice parameters (Å, degrees): 4.599 4.599 14.866 90.00 90.00 120.00
Positions (direct):
Co: 0.000 0.000 0.088
Co: 0.000 0.000 0.412
Co: 0.000 0.000 0.588
Co: 0.000 0.000 0.912
Co: 0.000 0.500 0.000
Co: 0.000 0.500 0.500
Co: 0.333 0.667 0.127
Co: 0.333 0.667 0.373
Co: 0.500 0.000 0.000
Co: 0.500 0.000 0.500
Co: 0.500 0.500 0.000
Co: 0.500 0.500 0.500
Co: 0.667 0.333 0.627
Co: 0.667 0.333 0.873
Ni: 0.162 0.324 0.250
Ni: 0.162 0.838 0.250
Ni: 0.324 0.162 0.750
Ni: 0.333 0.667 0.652
Ni: 0.333 0.667 0.848
Ni: 0.667 0.333 0.152
Ni: 0.667 0.333 0.348
Ni: 0.676 0.838 0.250
Ni: 0.838 0.162 0.750
Ni: 0.838 0.676 0.750

=====

Record 8
Co7Ni5 after structural relaxation, computed with PBE-GGA.

## Properties
Energy above the most stable polymorph in this dataset ... 0.000 eV per atom
Symmetry ... No. 194
Energy of formation ... 196 meV/atom

Lattice parameters (Å, degrees): 4.607 4.607 14.778 90.00 90.00 120.00
Positions (direct):
Co: 0.160 0.320 0.250
Co: 0.160 0.840 0.250
Co: 0.320 0.160 0.750
Co: 0.333 0.667 0.128
Co: 0.333 0.667 0.372
Co: 0.333 0.667 0.659
Co: 0.333 0.667 0.841
Co: 0.667 0.333 0.159
Co: 0.667 0.333 0.341
Co: 0.667 0.333 0.628
Co: 0.667 0.333 0.872
Co: 0.680 0.840 0.250
Co: 0.840 0.160 0.750
Co: 0.840 0.680 0.750
Ni: 0.000 0.000 0.092
Ni: 0.000 0.000 0.408
Ni: 0.000 0.000 0.592
Ni: 0.000 0.000 0.908
Ni: 0.000 0.500 0.000
Ni: 0.000 0.500 0.500
Ni: 0.500 0.000 0.000
Ni: 0.500 0.000 0.500
Ni: 0.500 0.500 0.000
Ni: 0.500 0.500 0.500

=====

Among the records above, which one has the highest energy of formation? number 6